{"formula": "VHClO", "functional": "GGA+U", "state": "relaxed", "lattice_angstrom": [[3.028, -1.737, 0.000], [3.028, 1.737, 0.000], [-1.994, 0.000, 5.468]], "species": ["V", "H", "Cl", "O"], "frac_coords": [[0.000, 0.000, 0.000], [0.780, 0.780, 0.344], [0.239, 0.239, 0.715], [0.722, 0.722, 0.165]], "sg": "Cm, No. 8", "dos_at_fermi_per_ev_fu": 0.00, "final_energy_ev_per_cell": -22.835, "vol_a3_per_atom": 14.38}